w:
This record from Alexandria via LeMat-Bulk describes a geometry-optimized SiGePO2 structure. The functional is PBE.

```
SiGePO2
1.0
3.490 0.000 0.000
0.000 5.053 0.000
0.000 0.000 3.490
P Ge Si O
1 1 1 2
Direct
0.000 0.500 0.000 P
0.500 0.500 0.500 Ge
0.000 0.000 0.000 Si
0.000 0.000 0.500 O
0.500 0.000 0.000 O
```

x:
This record from Alexandria via LeMat-Bulk describes a geometry-optimized SiGePO2 structure. The functional is PBE.

```
SiGePO2
1.0
-2.132 -0.968 -2.756
2.446 -2.456 -1.030
-2.304 -3.567 3.035
P Ge Si O
1 1 1 2
Direct
0.000 0.000 0.500 P
0.000 0.000 0.000 Ge
0.500 0.500 0.500 Si
0.000 0.500 0.000 O
0.500 0.000 0.000 O
```

From most stable to least stable, the computed energies give w, x.

w:
This record from Alexandria via LeMat-Bulk describes a geometry-optimized SiGeP2O structure. The functional is PBE.

```
SiGeP2O
1.0
-3.631 -1.249 2.868
2.925 -2.913 2.434
0.833 2.702 2.232
P Ge Si O
2 1 1 1
Direct
0.000 0.500 0.000 P
0.500 0.000 0.000 P
0.000 0.000 0.000 Ge
0.500 0.500 0.500 Si
0.000 0.000 0.500 O
```

x:
This record from Alexandria via LeMat-Bulk describes a geometry-optimized SiGeP2O structure. The functional is PBE.

```
SiGeP2O
1.0
4.845 0.000 0.000
0.000 4.845 0.000
0.000 0.000 3.268
P Ge Si O
2 1 1 1
Direct
0.000 0.500 0.000 P
0.500 0.000 0.000 P
0.500 0.500 0.500 Ge
0.000 0.000 0.000 Si
0.000 0.000 0.500 O
```

From most stable to least stable, the computed energies give x, w.

w:
This record from Alexandria via LeMat-Bulk describes a geometry-optimized SnGePO2 structure. The functional is PBE.

```
SnGePO2
1.0
3.815 0.000 0.000
0.000 3.815 0.000
0.000 0.000 4.973
P Ge Sn O
1 1 1 2
Direct
0.000 0.000 0.500 P
0.000 0.000 0.000 Ge
0.500 0.500 0.500 Sn
0.000 0.500 0.000 O
0.500 0.000 0.000 O
```

x:
This record from Alexandria via LeMat-Bulk describes a geometry-optimized SnGePO2 structure. The functional is PBE.

```
SnGePO2
1.0
-1.285 0.324 -3.733
3.560 -1.126 -1.323
-1.592 -5.152 0.100
P Ge Sn O
1 1 1 2
Direct
0.000 0.000 0.500 P
0.500 0.500 0.500 Ge
0.000 0.000 0.000 Sn
0.000 0.500 0.000 O
0.500 0.000 0.000 O
```

From most stable to least stable, the computed energies give w, x.

w:
This record from Alexandria via LeMat-Bulk describes a geometry-optimized SrGeP2O structure. The functional is PBE.

```
SrGeP2O
1.0
-1.295 -0.039 5.462
3.340 -4.448 0.760
3.347 2.652 0.812
Sr Ge O P
1 1 1 2
Direct
0.000 0.000 0.000 Sr
0.500 0.500 0.500 Ge
0.000 0.000 0.500 O
0.000 0.500 0.000 P
0.500 0.000 0.000 P
```

x:
This record from Alexandria via LeMat-Bulk describes a geometry-optimized SrGeP2O structure. The functional is PBE.

```
SrGeP2O
1.0
5.138 0.000 0.000
0.000 5.138 0.000
0.000 0.000 3.727
Sr Ge O P
1 1 1 2
Direct
0.500 0.500 0.500 Sr
0.000 0.000 0.000 Ge
0.000 0.000 0.500 O
0.000 0.500 0.000 P
0.500 0.000 0.000 P
```

From most stable to least stable, the computed energies give x, w.

w:
This record from Alexandria via LeMat-Bulk describes a geometry-optimized TaGeP2O structure. The functional is PBE.

```
TaGeP2O
1.0
-0.176 -2.769 -3.860
1.326 -3.738 2.621
-3.391 -0.728 0.677
P Ge O Ta
2 1 1 1
Direct
0.000 0.500 0.000 P
0.500 0.000 0.000 P
0.000 0.000 0.000 Ge
0.000 0.000 0.500 O
0.500 0.500 0.500 Ta
```

x:
This record from Alexandria via LeMat-Bulk describes a geometry-optimized TaGeP2O structure. The functional is PBE.

```
TaGeP2O
1.0
4.955 0.000 0.000
0.000 4.955 0.000
0.000 0.000 3.853
P Ge O Ta
2 1 1 1
Direct
0.000 0.500 0.000 P
0.500 0.000 0.000 P
0.500 0.500 0.500 Ge
0.000 0.000 0.500 O
0.000 0.000 0.000 Ta
```

From most stable to least stable, the computed energies give x, w.

w:
This record from Alexandria via LeMat-Bulk describes a geometry-optimized TlGeP2O structure. The functional is PBE.

```
TlGeP2O
1.0
5.030 0.000 0.000
0.000 5.030 0.000
0.000 0.000 3.635
P Tl Ge O
2 1 1 1
Direct
0.000 0.500 0.000 P
0.500 0.000 0.000 P
0.500 0.500 0.500 Tl
0.000 0.000 0.000 Ge
0.000 0.000 0.500 O
```

x:
This record from Alexandria via LeMat-Bulk describes a geometry-optimized TlGeP2O structure. The functional is PBE.

```
TlGeP2O
1.0
-3.122 2.551 -3.249
1.925 -2.705 -3.973
-2.902 -2.861 0.542
P Tl Ge O
2 1 1 1
Direct
0.000 0.500 0.000 P
0.500 0.000 0.000 P
0.000 0.000 0.000 Tl
0.500 0.500 0.500 Ge
0.000 0.000 0.500 O
```

From most stable to least stable, the computed energies give w, x.

w:
This record from Alexandria via LeMat-Bulk describes a geometry-optimized ZrGePO2 structure. The functional is PBE.

```
ZrGePO2
1.0
4.038 0.000 0.000
0.000 4.038 0.000
0.000 0.000 5.554
P Ge O Zr
1 1 2 1
Direct
0.000 0.000 0.500 P
0.500 0.500 0.500 Ge
0.000 0.500 0.000 O
0.500 0.000 0.000 O
0.000 0.000 0.000 Zr
```

x:
This record from Alexandria via LeMat-Bulk describes a geometry-optimized ZrGePO2 structure. The functional is PBE.

```
ZrGePO2
1.0
3.780 0.000 0.000
0.000 3.780 0.000
0.000 0.000 4.926
P Ge O Zr
1 1 2 1
Direct
0.000 0.000 0.500 P
0.000 0.000 0.000 Ge
0.000 0.500 0.000 O
0.500 0.000 0.000 O
0.500 0.500 0.500 Zr
```

From most stable to least stable, the computed energies give w, x.

w:
This record from Alexandria via LeMat-Bulk describes a geometry-optimized PaGeO4 structure. The functional is PBE.

```
PaGeO4
1.0
-3.324 5.389 -0.147
-3.628 -2.364 -4.621
0.653 -3.170 5.448
Pa Ge O
1 1 4
Direct
0.500 0.500 0.000 Pa
0.250 0.750 0.500 Ge
0.364 0.636 0.273 O
0.909 0.637 0.273 O
0.364 0.091 0.727 O
0.363 0.636 0.727 O
```

x:
This record from Alexandria via LeMat-Bulk describes a geometry-optimized PaGeO4 structure. The functional is PBE.

```
PaGeO4
1.0
5.167 0.000 0.000
0.000 5.167 0.000
0.000 0.000 9.582
Pa Ge O
2 2 8
Direct
0.000 0.000 0.000 Pa
0.000 0.000 0.500 Pa
0.000 0.500 0.250 Ge
0.500 0.000 0.750 Ge
0.287 0.165 0.865 O
0.713 0.835 0.865 O
0.165 0.287 0.365 O
0.287 0.835 0.635 O
0.713 0.165 0.635 O
0.165 0.713 0.135 O
0.835 0.287 0.135 O
0.835 0.713 0.365 O
```

From most stable to least stable, the computed energies give w, x.

w:
This record from Alexandria via LeMat-Bulk describes a geometry-optimized GePbO2 structure. The functional is PBE.

```
GePbO2
1.0
4.329 -0.145 0.462
1.775 -2.441 3.140
2.180 -3.627 -1.031
Pb Ge O
1 1 2
Direct
0.500 0.500 0.500 Pb
0.000 0.000 0.000 Ge
0.250 0.250 0.250 O
0.750 0.750 0.750 O
```

x:
This record from Alexandria via LeMat-Bulk describes a geometry-optimized GePbO2 structure. The functional is PBE.

```
GePbO2
1.0
-1.712 -2.568 -4.583
5.115 0.285 -2.071
2.710 -5.250 -1.402
Pb Ge O
2 2 4
Direct
0.000 0.000 0.000 Pb
0.750 0.250 0.500 Pb
0.500 0.500 0.000 Ge
0.250 0.750 0.500 Ge
0.483 0.125 0.250 O
0.267 0.625 0.250 O
0.375 0.517 0.750 O
0.875 0.733 0.750 O
```

y:
This record from Alexandria via LeMat-Bulk describes a geometry-optimized GePbO2 structure. The functional is PBE.

```
GePbO2
1.0
5.760 -1.839 3.510
6.868 0.544 1.195
5.372 1.575 4.190
Pb Ge O
1 1 2
Direct
0.500 0.500 0.500 Pb
0.000 0.000 0.000 Ge
0.907 0.907 0.907 O
0.093 0.093 0.093 O
```

z:
This record from Alexandria via LeMat-Bulk describes a geometry-optimized GePbO2 structure. The functional is PBE.

```
GePbO2
1.0
-6.401 -3.535 0.481
-4.486 -5.740 -0.795
-4.504 -5.278 2.358
Pb Ge O
1 1 2
Direct
0.000 0.000 0.000 Pb
0.500 0.500 0.500 Ge
0.879 0.879 0.879 O
0.121 0.121 0.121 O
```

From most stable to least stable, the computed energies give z, x, y, w.

w:
This record from Alexandria via LeMat-Bulk describes a geometry-optimized GePb3O5 structure. The functional is PBE.

```
GePb3O5
1.0
10.708 0.000 0.000
0.000 5.428 0.013
0.000 0.337 5.645
Ge Pb O
2 6 10
Direct
0.241 0.969 0.443 Ge
0.741 0.031 0.557 Ge
0.003 0.973 0.940 Pb
0.503 0.027 0.060 Pb
0.749 0.499 0.015 Pb
0.519 0.520 0.504 Pb
0.019 0.480 0.496 Pb
0.249 0.501 0.985 Pb
0.404 0.924 0.464 O
0.056 0.371 0.892 O
0.160 0.824 0.691 O
0.660 0.176 0.309 O
0.904 0.076 0.536 O
0.556 0.629 0.108 O
0.206 0.291 0.397 O
0.180 0.826 0.190 O
0.706 0.709 0.603 O
0.680 0.174 0.810 O
```

x:
This record from Alexandria via LeMat-Bulk describes a geometry-optimized GePb3O5 structure. The functional is PBE.

```
GePb3O5
1.0
-1.943 -0.056 5.023
-0.901 -5.285 -0.510
5.062 -1.051 1.947
Ge Pb O
1 3 5
Direct
0.000 0.000 0.517 Ge
0.500 0.500 0.549 Pb
0.000 0.500 0.021 Pb
0.500 0.000 0.021 Pb
0.186 0.814 0.710 O
0.809 0.809 0.328 O
0.191 0.191 0.328 O
0.814 0.186 0.710 O
0.500 0.500 0.967 O
```

From most stable to least stable, the computed energies give w, x.

w:
This record from Alexandria via LeMat-Bulk describes a geometry-optimized Ge2Pb2O5 structure. The functional is PBE.

```
Ge2Pb2O5
1.0
3.122 0.000 -0.678
0.152 7.175 0.698
-0.055 2.357 7.270
Ge Pb O
2 2 5
Direct
0.876 0.035 0.751 Ge
0.124 0.965 0.249 Ge
0.636 0.453 0.272 Pb
0.364 0.547 0.728 Pb
0.641 0.083 0.282 O
0.359 0.917 0.718 O
0.804 0.299 0.608 O
0.196 0.701 0.392 O
0.000 0.000 0.000 O
```

x:
This record from Alexandria via LeMat-Bulk describes a geometry-optimized Ge2Pb2O5 structure. The functional is PBE.

```
Ge2Pb2O5
1.0
4.182 0.000 0.000
-2.091 5.802 -0.549
0.000 -1.312 5.900
Ge Pb O
2 2 5
Direct
0.150 0.300 0.876 Ge
0.850 0.700 0.124 Ge
0.389 0.779 0.665 Pb
0.611 0.221 0.335 Pb
0.316 0.632 0.059 O
0.684 0.368 0.941 O
0.178 0.356 0.586 O
0.822 0.644 0.414 O
0.000 0.000 0.000 O
```

From most stable to least stable, the computed energies give w, x.

w:
This record from Alexandria via LeMat-Bulk describes a geometry-optimized GePb2O4 structure. The functional is PBE.

```
GePb2O4
1.0
6.412 0.000 0.000
0.000 8.646 -0.051
0.000 0.055 8.646
Ge Pb O
4 8 16
Direct
0.176 0.000 0.500 Ge
0.676 0.000 0.500 Ge
0.824 0.500 0.000 Ge
0.324 0.500 0.000 Ge
0.500 0.160 0.160 Pb
0.000 0.160 0.840 Pb
0.000 0.840 0.160 Pb
0.500 0.840 0.840 Pb
0.500 0.660 0.340 Pb
0.000 0.660 0.660 Pb
0.500 0.340 0.660 Pb
0.000 0.340 0.340 Pb
0.166 0.189 0.596 O
0.665 0.189 0.404 O
0.165 0.096 0.311 O
0.666 0.096 0.689 O
0.666 0.904 0.311 O
0.165 0.904 0.689 O
0.665 0.811 0.596 O
0.166 0.811 0.404 O
0.334 0.689 0.096 O
0.835 0.689 0.904 O
0.335 0.596 0.811 O
0.834 0.596 0.189 O
0.834 0.404 0.811 O
0.335 0.404 0.189 O
0.835 0.311 0.096 O
0.334 0.311 0.904 O
```

x:
This record from Alexandria via LeMat-Bulk describes a geometry-optimized GePb2O4 structure. The functional is PBE.

```
GePb2O4
1.0
5.995 0.004 -0.002
-0.004 5.995 0.002
-2.994 -3.001 3.369
Ge Pb O
1 2 4
Direct
0.000 0.000 0.000 Ge
0.750 0.250 0.500 Pb
0.250 0.750 0.500 Pb
0.784 0.216 0.001 O
0.216 0.784 0.000 O
0.216 0.216 0.000 O
0.784 0.784 0.000 O
```

From most stable to least stable, the computed energies give w, x.